A geometry-optimized Li2InGe structure, computed with GGA-PBE.

Calculated values
ΔE_f	-152	meV/atom
total energy	-2.9478	eV/atom

CIF file:
```
data_Li2InGe
_cell_length_a 3.1032
_cell_length_b 3.1032
_cell_length_c 27.4130
_cell_angle_alpha 90.00
_cell_angle_beta 90.00
_cell_angle_gamma 120.00
_space_group_name_H-M_alt 'R 3 m'
_space_group_IT_number 160
_space_group_name_Hall 'R 3 -2"'
loop_
_atom_site_label
_atom_site_fract_x
_atom_site_fract_y
_atom_site_fract_z
Li1 0.0000 0.0000 0.0000
Li2 0.0000 0.0000 0.1810
In1 0.0000 0.0000 0.7569
Ge1 0.0000 0.0000 0.5907
```